[1]
Cu2TcPb: relaxed, GGA-PBE.

Structure (POSCAR):
```
Cu2TcPb
1.0
4.487 0.000 0.000
2.244 3.886 0.000
2.244 1.295 3.664
Cu Tc Pb
2 1 1
Cartesian
0.000 0.000 0.000
6.731 3.886 2.748
2.244 1.295 0.916
4.487 2.591 1.832
```

Computed properties:
theoretical density	11.2	g/cm3
V	15.973	Å³ per atom
crystal system	cubic
formation energy	558	meV/atom
final energy	-5.009	eV/atom

---

[2]
YGa6Au12: relaxed, GGA-PBE.

Structure (POSCAR):
```
YGa6Au12
1.0
7.578 -0.125 -0.176
-2.000 7.310 -0.176
-2.000 -2.576 6.844
Au Ga Y
12 6 1
Cartesian
1.777 2.289 5.764
4.101 2.883 4.060
1.789 -1.462 5.921
5.439 -0.528 3.246
-1.860 1.371 5.921
-0.522 1.727 2.432
1.802 -0.077 2.432
1.777 4.687 4.060
1.789 6.072 0.571
1.802 2.321 0.728
5.439 3.239 0.571
-1.860 5.138 3.246
0.193 0.249 4.654
-0.551 3.354 4.723
3.386 4.361 1.838
3.386 0.298 4.723
4.130 1.256 1.769
0.193 4.312 1.769
0.000 0.000 0.000
```

Computed properties:
theoretical density	12.9	g/cm3
V	19.499	Å³ per atom
crystal system	trigonal
formation energy	-196	meV/atom
final energy	-3.562	eV/atom

---

[3]
GaCuPdPt: relaxed, GGA-PBE.

Structure (POSCAR):
```
GaCuPdPt
1.0
3.548 0.000 0.000
0.000 4.008 0.000
0.000 0.000 4.030
Pt Cu Ga Pd
1 1 1 1
Cartesian
1.774 0.000 2.015
0.000 0.000 0.000
0.000 2.004 2.015
1.774 2.004 0.000
```

Computed properties:
theoretical density	12.6	g/cm3
V	14.331	Å³ per atom
crystal system	orthorhombic
formation energy	-488	meV/atom
final energy	-5.078	eV/atom
distance to the lowest polymorph of the same formula	0.0	meV per atom

---

[4]
Ce2PaTl: relaxed, GGA-PBE.

Structure (POSCAR):
```
Ce2PaTl
1.0
-2.288 -2.223 -0.467
2.090 -2.320 0.804
-2.791 0.841 9.683
Ce Pa Tl
2 1 1
Cartesian
-2.117 0.638 7.345
-0.674 0.203 2.338
-0.099 -2.271 0.169
-1.495 -1.851 5.010
```

Computed properties:
theoretical density	11.3	g/cm3
V	26.275	Å³ per atom
crystal system	tetragonal
formation energy	-55	meV/atom
final energy	-5.988	eV/atom
distance to the lowest polymorph of the same formula	0.0	meV per atom